(1)
{"formula": "ZrTc2Pb", "functional": "PBE", "state": "optimized geometry", "dos_ef_per_ev_atom": 0.95, "relative_energy_mev_per_atom": 202.8, "sg": "C2/m", "lattice_angstrom": [[4.6312, -1.6150, 0.0000], [4.6312, 1.6150, 0.0000], [-1.3248, 0.0000, 4.9912]], "species": ["Zr", "Tc", "Tc", "Pb"], "frac_coords": [[0.0000, 0.0000, 0.0000], [0.2566, 0.2566, 0.7679], [0.7434, 0.7434, 0.2321], [0.5000, 0.5000, 0.5000]]}

(2)
{"formula": "Zr2Tc2Pb", "functional": "PBE", "state": "optimized geometry", "dos_ef_per_ev_atom": 0.76, "sg": "P4/mbm", "total_energy_ev_per_atom": -8.303, "lattice_angstrom": [[7.5856, 0.0000, 0.0000], [0.0000, 7.5856, 0.0000], [0.0000, 0.0000, 3.4979]], "species": ["Zr", "Zr", "Zr", "Zr", "Tc", "Tc", "Tc", "Tc", "Pb", "Pb"], "frac_coords": [[0.1887, 0.3113, 0.0000], [0.3113, 0.8113, 0.0000], [0.6887, 0.1887, 0.0000], [0.8113, 0.6887, 0.0000], [0.1092, 0.6092, 0.5000], [0.3908, 0.1092, 0.5000], [0.6092, 0.8908, 0.5000], [0.8908, 0.3908, 0.5000], [0.0000, 0.0000, 0.5000], [0.5000, 0.5000, 0.5000]]}

(3)
{"formula": "ZrTc2Pb", "functional": "PBE", "state": "optimized geometry", "dos_ef_per_ev_atom": 1.57, "relative_energy_mev_per_atom": 36.6, "sg": "Fm-3m", "lattice_angstrom": [[0.0000, 3.3127, 3.3127], [3.3127, 0.0000, 3.3127], [3.3127, 3.3127, 0.0000]], "species": ["Zr", "Tc", "Tc", "Pb"], "frac_coords": [[0.0000, 0.0000, 0.0000], [0.2500, 0.2500, 0.2500], [0.7500, 0.7500, 0.7500], [0.5000, 0.5000, 0.5000]]}

(4)
{"formula": "Zr2TcPb", "functional": "PBE", "state": "optimized geometry", "dos_ef_per_ev_atom": 0.88, "relative_energy_mev_per_atom": 163.4, "sg": "R-3m", "lattice_angstrom": [[1.6787, 0.9692, 8.9863], [-1.6787, 0.9692, 8.9863], [0.0000, -1.9384, 8.9863]], "species": ["Zr", "Zr", "Tc", "Pb"], "frac_coords": [[0.2372, 0.2372, 0.2372], [0.7628, 0.7628, 0.7628], [0.5000, 0.5000, 0.5000], [0.0000, 0.0000, 0.0000]]}

(5)
{"formula": "ZrTc2Pb", "functional": "PBE", "state": "optimized geometry", "dos_ef_per_ev_atom": 0.94, "relative_energy_mev_per_atom": 334.2, "sg": "R-3m", "lattice_angstrom": [[1.6100, 0.9295, 8.5517], [-1.6100, 0.9295, 8.5517], [0.0000, -1.8590, 8.5517]], "species": ["Zr", "Tc", "Tc", "Pb"], "frac_coords": [[0.0000, 0.0000, 0.0000], [0.2525, 0.2525, 0.2525], [0.7475, 0.7475, 0.7475], [0.5000, 0.5000, 0.5000]]}

(6)
{"formula": "Zr2TcPb", "functional": "PBE", "state": "optimized geometry", "dos_ef_per_ev_atom": 0.87, "relative_energy_mev_per_atom": 0.0, "sg": "P4/mmm", "lattice_angstrom": [[3.2710, 0.0000, 0.0000], [0.0000, 3.2710, 0.0000], [0.0000, 0.0000, 8.1053]], "species": ["Zr", "Zr", "Tc", "Pb"], "frac_coords": [[0.0000, 0.0000, 0.1984], [0.0000, 0.0000, 0.8016], [0.5000, 0.5000, 0.0000], [0.5000, 0.5000, 0.5000]]}